Entry 1:
A plane-wave DFT calculation with PBE-GGA was carried out for crystalline Si5Ni at its relaxed geometry.

abc: 8.7015 8.7015 3.9091
angles: 90.00 90.00 162.71
Atoms (fractional coordinates):
Si  0.0000  0.0000  0.0000
Si  0.1214  0.8786  0.5000
Si  0.3141  0.6859  0.0000
Si  0.6859  0.3141  0.0000
Si  0.8786  0.1214  0.5000
Ni  0.5000  0.5000  0.5000

Calculated values
DFT total energy: -31.73 eV per cell
ρ: 3.8 Mg/m³
space group: Cmmm
polymorph energy (0 for the lowest one): 0.000 eV per formula unit

Entry 2:
A plane-wave DFT calculation with PBE-GGA was carried out for crystalline Si6Ni7 at its relaxed geometry.

abc: 8.4835 8.4835 8.4835
angles: 32.97 32.97 32.97
Atoms (fractional coordinates):
Si  0.0526  0.0526  0.0526
Si  0.1748  0.1748  0.1748
Si  0.3325  0.3325  0.3325
Si  0.6675  0.6675  0.6675
Si  0.8252  0.8252  0.8252
Si  0.9474  0.9474  0.9474
Ni  0.0788  0.5758  0.5758
Ni  0.4242  0.4242  0.9212
Ni  0.4242  0.9212  0.4242
Ni  0.5000  0.5000  0.5000
Ni  0.5758  0.0788  0.5758
Ni  0.5758  0.5758  0.0788
Ni  0.9212  0.4242  0.4242

Calculated values
DFT total energy: -75.82 eV per cell
ρ: 6.0 Mg/m³
space group: R-3m

Entry 3:
A plane-wave DFT calculation with PBE-GGA was carried out for crystalline Si2Ni at its relaxed geometry.

abc: 5.3454 5.3454 6.0454
angles: 116.13 116.13 30.27
Atoms (fractional coordinates):
Si  0.0586  0.0586  0.2825
Si  0.3111  0.3111  0.3232
Si  0.6889  0.6889  0.6768
Si  0.9414  0.9414  0.7175
Ni  0.3688  0.3688  0.9970
Ni  0.6312  0.6312  0.0030

Calculated values
DFT total energy: -33.65 eV per cell
ρ: 4.9 Mg/m³
space group: C2/m

Entry 4:
A plane-wave DFT calculation with PBE-GGA was carried out for crystalline Si3Ni5 at its relaxed geometry.

abc: 6.5816 6.5650 8.5841
angles: 49.32 49.15 81.53
Atoms (fractional coordinates):
Si  0.1553  0.1553  0.3447
Si  0.1633  0.8364  0.1636
Si  0.3368  0.6632  0.6632
Si  0.6553  0.6553  0.8447
Si  0.6632  0.3368  0.3368
Si  0.8364  0.1633  0.8367
Ni  0.1166  0.6876  0.5258
Ni  0.1880  0.6155  0.0259
Ni  0.2385  0.2385  0.7615
Ni  0.3300  0.4742  0.3124
Ni  0.4742  0.3300  0.8834
Ni  0.6155  0.1880  0.1706
Ni  0.6876  0.1166  0.6700
Ni  0.7394  0.7394  0.2606
Ni  0.8294  0.9741  0.3845
Ni  0.9741  0.8294  0.8120

Calculated values
DFT total energy: -98.23 eV per cell
ρ: 6.7 Mg/m³
space group: Fmm2
polymorph energy (0 for the lowest one): 0.009 eV per formula unit

Entry 5:
A plane-wave DFT calculation with PBE-GGA was carried out for crystalline SiNi5 at its relaxed geometry.

abc: 3.5418 7.3713 4.9478
angles: 90.00 90.00 90.00
Atoms (fractional coordinates):
Si  0.2500  0.2500  0.1261
Si  0.7500  0.7500  0.8739
Ni  0.2500  0.2500  0.6279
Ni  0.2500  0.5832  0.1264
Ni  0.2500  0.5862  0.6294
Ni  0.2500  0.9138  0.6294
Ni  0.2500  0.9168  0.1264
Ni  0.7500  0.0832  0.8736
Ni  0.7500  0.0862  0.3706
Ni  0.7500  0.4138  0.3706
Ni  0.7500  0.4168  0.8736
Ni  0.7500  0.7500  0.3721

Calculated values
DFT total energy: -72.00 eV per cell
ρ: 8.3 Mg/m³
space group: Pmmn

Entry 6:
A plane-wave DFT calculation with PBE-GGA was carried out for crystalline SiNi2 at its relaxed geometry.

abc: 11.0317 11.0317 11.0317
angles: 161.77 161.77 25.90
Atoms (fractional coordinates):
Si  0.2976  0.5476  0.7500
Si  0.4524  0.7024  0.7500
Si  0.5476  0.2976  0.2500
Si  0.7024  0.4524  0.2500
Ni  0.0397  0.7897  0.2500
Ni  0.1236  0.3736  0.7500
Ni  0.2103  0.9603  0.2500
Ni  0.3736  0.1236  0.2500
Ni  0.6264  0.8764  0.7500
Ni  0.7897  0.0397  0.7500
Ni  0.8764  0.6264  0.2500
Ni  0.9603  0.2103  0.7500

Calculated values
DFT total energy: -73.18 eV per cell
ρ: 7.4 Mg/m³
space group: I4_1/amd

Entry 7:
A plane-wave DFT calculation with PBE-GGA was carried out for crystalline SiNi2 at its relaxed geometry.

abc: 3.9098 3.9098 4.9869
angles: 90.00 90.00 120.00
Atoms (fractional coordinates):
Si  0.3333  0.6667  0.2500
Si  0.6667  0.3333  0.7500
Ni  0.0000  0.0000  0.0000
Ni  0.0000  0.0000  0.5000
Ni  0.3333  0.6667  0.7500
Ni  0.6667  0.3333  0.2500

Calculated values
DFT total energy: -37.00 eV per cell
ρ: 7.3 Mg/m³
space group: P6_3/mmc

Entry 8:
A plane-wave DFT calculation with PBE-GGA was carried out for crystalline SiNi3 at its relaxed geometry.

abc: 2.5806 3.3569 5.0162
angles: 90.00 90.00 90.00
Atoms (fractional coordinates):
Si  0.0000  0.0000  0.0000
Ni  0.0000  0.0000  0.5000
Ni  0.5000  0.5000  0.2429
Ni  0.5000  0.5000  0.7571

Calculated values
DFT total energy: -24.03 eV per cell
ρ: 7.8 Mg/m³
space group: Pmmm

Entry 9:
A plane-wave DFT calculation with PBE-GGA was carried out for crystalline SiNi5 at its relaxed geometry.

abc: 4.2958 4.2958 4.0420
angles: 90.00 90.00 120.00
Atoms (fractional coordinates):
Si  0.0000  0.0000  0.0000
Ni  0.0000  0.6687  0.5000
Ni  0.3313  0.3313  0.5000
Ni  0.3333  0.6667  0.0000
Ni  0.6667  0.3333  0.0000
Ni  0.6687  0.0000  0.5000

Calculated values
DFT total energy: -35.98 eV per cell
ρ: 8.3 Mg/m³
space group: P-62m

Entry 10:
A plane-wave DFT calculation with PBE-GGA was carried out for crystalline Si3Ni4 at its relaxed geometry.

abc: 4.6490 4.6490 4.3980
angles: 90.00 90.00 120.00
Atoms (fractional coordinates):
Si  0.0000  0.5000  0.0000
Si  0.5000  0.0000  0.0000
Si  0.5000  0.5000  0.0000
Ni  0.0000  0.0000  0.2541
Ni  0.0000  0.0000  0.7459
Ni  0.3333  0.6667  0.5000
Ni  0.6667  0.3333  0.5000

Calculated values
DFT total energy: -39.11 eV per cell
ρ: 6.4 Mg/m³
space group: P6/mmm

Entry 11:
A plane-wave DFT calculation with PBE-GGA was carried out for crystalline SiNi3 at its relaxed geometry.

abc: 4.5511 4.5511 4.5511
angles: 90.50 90.50 90.50
Atoms (fractional coordinates):
Si  0.1505  0.1505  0.1505
Si  0.8495  0.8495  0.8495
Ni  0.2429  0.2429  0.6369
Ni  0.2429  0.6369  0.2429
Ni  0.3631  0.7571  0.7571
Ni  0.6369  0.2429  0.2429
Ni  0.7571  0.3631  0.7571
Ni  0.7571  0.7571  0.3631

Calculated values
DFT total energy: -45.82 eV per cell
ρ: 7.2 Mg/m³
space group: R-3m

Entry 12:
A plane-wave DFT calculation with PBE-GGA was carried out for crystalline SiNi3 at its relaxed geometry.

abc: 2.6194 3.9621 4.1901
angles: 90.00 90.00 90.00
Atoms (fractional coordinates):
Si  0.0000  0.0000  0.0000
Ni  0.0000  0.5000  0.6542
Ni  0.5000  0.0000  0.5015
Ni  0.5000  0.5000  0.1501

Calculated values
DFT total energy: -24.10 eV per cell
ρ: 7.8 Mg/m³
space group: Pmm2

Entry 13:
A plane-wave DFT calculation with PBE-GGA was carried out for crystalline SiNi2 at its relaxed geometry.

abc: 9.7935 9.7935 9.7935
angles: 164.08 164.08 22.58
Atoms (fractional coordinates):
Si  0.3750  0.6250  0.7500
Si  0.6250  0.3750  0.2500
Ni  0.0555  0.8055  0.2500
Ni  0.1945  0.9445  0.2500
Ni  0.8055  0.0555  0.7500
Ni  0.9445  0.1945  0.7500

Calculated values
DFT total energy: -35.64 eV per cell
ρ: 6.8 Mg/m³
space group: I4_1/amd

Entry 14:
A plane-wave DFT calculation with PBE-GGA was carried out for crystalline SiNi2 at its relaxed geometry.

abc: 4.7823 4.7823 6.0969
angles: 111.34 111.34 31.63
Atoms (fractional coordinates):
Si  0.1730  0.1730  0.1780
Si  0.8270  0.8270  0.8220
Ni  0.1402  0.1402  0.5403
Ni  0.4451  0.4451  0.1667
Ni  0.5549  0.5549  0.8333
Ni  0.8598  0.8598  0.4597

Calculated values
DFT total energy: -36.26 eV per cell
ρ: 7.1 Mg/m³
space group: C2/m

Entry 15:
A plane-wave DFT calculation with PBE-GGA was carried out for crystalline Sm3Si4Ni7 at its relaxed geometry.

abc: 7.7573 7.7573 9.0404
angles: 125.33 125.33 29.58
Atoms (fractional coordinates):
Sm  0.0000  0.0000  0.0000
Sm  0.3172  0.3172  0.3137
Sm  0.6828  0.6828  0.6863
Si  0.1128  0.1128  0.3949
Si  0.3285  0.3285  0.9759
Si  0.6715  0.6715  0.0241
Si  0.8872  0.8872  0.6051
Ni  0.0000  0.0000  0.5000
Ni  0.1332  0.1332  0.8644
Ni  0.3086  0.3086  0.6456
Ni  0.5004  0.5004  0.2727
Ni  0.4996  0.4996  0.7273
Ni  0.6914  0.6914  0.3544
Ni  0.8668  0.8668  0.1356

Calculated values
DFT total energy: -85.20 eV per cell
ρ: 7.5 Mg/m³
space group: C2/m

Entry 16:
A plane-wave DFT calculation with PBE-GGA was carried out for crystalline Sm3Si2Ni6 at its relaxed geometry.

abc: 7.6931 7.6931 7.6931
angles: 109.47 109.47 109.47
Atoms (fractional coordinates):
Sm  0.0000  0.2863  0.2863
Sm  0.0000  0.7137  0.7137
Sm  0.2863  0.0000  0.2863
Sm  0.2863  0.2863  0.0000
Sm  0.7137  0.0000  0.7137
Sm  0.7137  0.7137  0.0000
Si  0.0000  0.0000  0.5000
Si  0.0000  0.5000  0.0000
Si  0.5000  0.0000  0.0000
Si  0.5000  0.5000  0.5000
Ni  0.0000  0.3296  0.6704
Ni  0.0000  0.6704  0.3296
Ni  0.3296  0.0000  0.6704
Ni  0.3296  0.3296  0.6591
Ni  0.3296  0.6591  0.3296
Ni  0.3296  0.6704  0.0000
Ni  0.3409  0.6704  0.6704
Ni  0.6591  0.3296  0.3296
Ni  0.6704  0.0000  0.3296
Ni  0.6704  0.3296  0.0000
Ni  0.6704  0.3409  0.6704
Ni  0.6704  0.6704  0.3409

Calculated values
DFT total energy: -132.20 eV per cell
ρ: 8.1 Mg/m³
space group: Im-3m

Entry 17:
A plane-wave DFT calculation with PBE-GGA was carried out for crystalline Sm2Si2Ni3 at its relaxed geometry.

abc: 5.6093 5.6093 6.7968
angles: 116.38 116.38 39.12
Atoms (fractional coordinates):
Sm  0.1325  0.1325  0.2588
Sm  0.8675  0.8675  0.7412
Si  0.1420  0.1420  0.7193
Si  0.8580  0.8580  0.2807
Ni  0.3516  0.3516  0.0759
Ni  0.5000  0.5000  0.5000
Ni  0.6484  0.6484  0.9241

Calculated values
DFT total energy: -42.23 eV per cell
ρ: 7.4 Mg/m³
space group: C2/m

Entry 18:
A plane-wave DFT calculation with PBE-GGA was carried out for crystalline SmSiNi4 at its relaxed geometry.

abc: 4.8649 4.8649 3.9527
angles: 90.00 90.00 116.32
Atoms (fractional coordinates):
Sm  0.0000  0.0000  0.0000
Si  0.5000  0.5000  0.5000
Ni  0.0000  0.5000  0.5000
Ni  0.3429  0.6571  0.0000
Ni  0.5000  0.0000  0.5000
Ni  0.6571  0.3429  0.0000

Calculated values
DFT total energy: -36.73 eV per cell
ρ: 8.2 Mg/m³
space group: Cmmm

Entry 19:
A plane-wave DFT calculation with PBE-GGA was carried out for crystalline SmSiNi at its relaxed geometry.

abc: 3.9999 3.9999 12.4414
angles: 90.00 90.00 120.00
Atoms (fractional coordinates):
Sm  0.0000  0.0000  0.0000
Sm  0.0000  0.0000  0.3340
Sm  0.0000  0.0000  0.6660
Si  0.3333  0.6667  0.5000
Si  0.6667  0.3333  0.1662
Si  0.6667  0.3333  0.8338
Ni  0.3333  0.6667  0.1689
Ni  0.3333  0.6667  0.8311
Ni  0.6667  0.3333  0.5000

Calculated values
DFT total energy: -54.46 eV per cell
ρ: 6.9 Mg/m³
space group: P-6m2

Entry 20:
A plane-wave DFT calculation with PBE-GGA was carried out for crystalline Sm3SiNi3 at its relaxed geometry.

abc: 5.6602 5.6602 14.3097
angles: 107.74 107.74 40.98
Atoms (fractional coordinates):
Sm  0.0223  0.0223  0.3849
Sm  0.1031  0.1031  0.9231
Sm  0.2419  0.2419  0.2274
Sm  0.7581  0.7581  0.7726
Sm  0.8969  0.8969  0.0769
Sm  0.9777  0.9777  0.6151
Si  0.2600  0.2600  0.6129
Si  0.7400  0.7400  0.3871
Ni  0.3140  0.3140  0.4664
Ni  0.3979  0.3979  0.9245
Ni  0.4547  0.4547  0.7641
Ni  0.5453  0.5453  0.2359
Ni  0.6021  0.6021  0.0755
Ni  0.6860  0.6860  0.5336

Calculated values
DFT total energy: -80.95 eV per cell
ρ: 7.7 Mg/m³
space group: C2/m

Entry 21:
A plane-wave DFT calculation with PBE-GGA was carried out for crystalline Sm3Si2Ni at its relaxed geometry.

abc: 11.5485 4.1923 11.5378
angles: 90.00 90.00 90.00
Atoms (fractional coordinates):
Sm  0.0600  0.2500  0.1244
Sm  0.1166  0.7500  0.5589
Sm  0.2117  0.2500  0.8040
Sm  0.2883  0.7500  0.3040
Sm  0.3834  0.2500  0.0589
Sm  0.4400  0.7500  0.6244
Sm  0.5600  0.2500  0.3756
Sm  0.6166  0.7500  0.9411
Sm  0.7117  0.2500  0.6960
Sm  0.7883  0.7500  0.1960
Sm  0.8834  0.2500  0.4411
Sm  0.9400  0.7500  0.8756
Si  0.0286  0.7500  0.3134
Si  0.1986  0.7500  0.9922
Si  0.3014  0.2500  0.4922
Si  0.4714  0.2500  0.8134
Si  0.5286  0.7500  0.1866
Si  0.6986  0.7500  0.5078
Si  0.8014  0.2500  0.0078
Si  0.9714  0.2500  0.6866
Ni  0.1296  0.2500  0.3653
Ni  0.3704  0.7500  0.8653
Ni  0.6296  0.2500  0.1347
Ni  0.8704  0.7500  0.6347

Calculated values
DFT total energy: -139.47 eV per cell
ρ: 6.7 Mg/m³
space group: Pnma

Entry 22:
A plane-wave DFT calculation with PBE-GGA was carried out for crystalline Sm4SiNi3 at its relaxed geometry.

abc: 4.0500 4.1242 10.5245
angles: 90.00 90.00 90.00
Atoms (fractional coordinates):
Sm  0.0000  0.0000  0.0000
Sm  0.0000  0.5000  0.2756
Sm  0.5000  0.0000  0.4909
Sm  0.5000  0.5000  0.7779
Si  0.0000  0.0000  0.6998
Ni  0.0000  0.5000  0.5700
Ni  0.5000  0.0000  0.2054
Ni  0.5000  0.5000  0.0708

Calculated values
DFT total energy: -45.34 eV per cell
ρ: 7.6 Mg/m³
space group: Pmm2